1.
AlZnIn2 | PBE | optimized geometry

Final energy in eV for the cell shown: -19.72
N(E_F) in states/eV/atom: 0.40

Unit cell a=4.187 b=4.187 c=9.919 alpha=90.00 beta=90.00 gamma=90.00
Space group I-4m2 (No. 119)
Asymmetric unit:
Al  0.000  0.000  0.000 x2
Zn  0.000  0.500  0.250 x2
In  0.000  0.000  0.500 x2
In  0.000  0.500  0.750 x2

2.
In2FeOs | PBE | optimized geometry

Final energy in eV for the cell shown: -46.60
N(E_F) in states/eV/atom: 1.14

Unit cell a=4.111 b=4.111 c=8.095 alpha=90.00 beta=90.00 gamma=90.00
Space group I4/mmm (No. 139)
Asymmetric unit:
In  0.000  0.500  0.250 x4
Fe  0.000  0.000  0.000 x2
Os  0.000  0.000  0.500 x2

3.
UPS4Br | PBE | optimized geometry

Uncorrected formation energy in eV per atom: -0.65
Final energy in eV for the cell shown: -157.76
N(E_F) in states/eV/atom: 1.02

Unit cell a=11.059 b=8.568 c=7.836 alpha=90.00 beta=104.45 gamma=90.00
Space group C2/m (No. 12)
Asymmetric unit:
U  0.221  0.000  0.125 x4
P  0.139  0.500  0.275 x4
S  0.038  0.500  0.695 x4
S  0.175  0.322  0.105 x8
S  0.229  0.000  0.494 x4
Br  0.024  0.000  0.794 x4

4.
RbAlS2 | PBE | optimized geometry

Uncorrected formation energy in eV per atom: 0.01
Final energy in eV for the cell shown: -12.91
N(E_F) in states/eV/atom: 0.94

Unit cell a=4.969 b=4.969 c=3.640 alpha=90.00 beta=90.00 gamma=90.00
Space group P4/mmm (No. 123)
Asymmetric unit:
Rb  0.000  0.000  0.000 x1
Al  0.500  0.500  0.000 x1
S  0.000  0.500  0.500 x2

Question: Number 2 is which compound?
Answer: In2FeOs